[1]
A plane-wave DFT calculation with PBE was carried out for a geometry-optimized MnTc2RhBr structure.

The structure in CIF format:
```
data_MnTc2RhBr
_chemical_formula_sum 'Mn1 Tc2 Rh1 Br1'
_symmetry_space_group_name_H-M 'P 4/m m m'
_symmetry_Int_Tables_number 123
_symmetry_space_group_name_Hall '-P 4 2'
_cell_length_a 4.4981
_cell_length_b 4.4981
_cell_length_c 4.6068
_cell_angle_alpha 90.00
_cell_angle_beta 90.00
_cell_angle_gamma 90.00
loop_
_atom_site_label
_atom_site_fract_x
_atom_site_fract_y
_atom_site_fract_z
Mn1 0.0000 0.0000 0.0000
Tc1 0.0000 0.5000 0.0000
Rh1 0.0000 0.0000 0.5000
Br1 0.5000 0.5000 0.5000
```

[2]
# PBE Mn2RuBr, optimized geometry
# Energy above the most stable polymorph in this dataset in meV/atom: 268
data_Mn2RuBr
_chemical_formula_sum 'Mn4 Ru2 Br2'
_symmetry_space_group_name_H-M 'I m m 2'
_symmetry_Int_Tables_number 44
_cell_length_a 3.0768
_cell_length_b 4.2246
_cell_length_c 11.7500
_cell_angle_alpha 90.00
_cell_angle_beta 90.00
_cell_angle_gamma 90.00
loop_
_symmetry_equiv_pos_as_xyz
'x,y,z'
'-x,-y,z'
'-x,y,z'
'x,-y,z'
'x+1/2,y+1/2,z+1/2'
'-x+1/2,-y+1/2,z+1/2'
'-x+1/2,y+1/2,z+1/2'
'x+1/2,-y+1/2,z+1/2'
loop_
_atom_site_label
_atom_site_fract_x
_atom_site_fract_y
_atom_site_fract_z
Mn1 0.0000 0.0000 0.0000
Mn2 0.0000 0.5000 0.1570
Ru1 0.0000 0.5000 0.6748
Br1 0.0000 0.0000 0.3705

[3]
# PBE Mn2RuBr, optimized geometry
# Energy above the most stable polymorph in this dataset in meV/atom: 376
data_Mn2RuBr
_chemical_formula_sum 'Mn4 Ru2 Br2'
_symmetry_space_group_name_H-M 'C 1 m 1'
_symmetry_Int_Tables_number 8
_cell_length_a 8.5981
_cell_length_b 3.0322
_cell_length_c 4.8423
_cell_angle_alpha 90.00
_cell_angle_beta 98.80
_cell_angle_gamma 90.00
loop_
_symmetry_equiv_pos_as_xyz
'x,y,z'
'x,-y,z'
'x+1/2,y+1/2,z'
'x+1/2,-y+1/2,z'
loop_
_atom_site_label
_atom_site_fract_x
_atom_site_fract_y
_atom_site_fract_z
Mn1 0.0000 0.0000 0.0000
Mn2 0.2500 0.0000 0.7559
Ru1 0.0125 0.5000 0.5539
Br1 0.2492 0.5000 0.2341

Values of formation energy from raw total energies, in order: 1.40; 0.51; 0.62, all in eV per atom.
Values of raw total energy, in order: -6.3862; -6.8089; -6.7018, all in eV/atom.